1.
## Na3TlCl (GGA-PBEsol)

Data for a geometry-optimized Na3TlCl structure.

## Properties
Calculated volume = 196.7 Å³ per cell
DFT total energy = -1.860 eV per atom
Mass density = 2607 kg/m³
Energy relative to the elements, uncorrected = -0.0929 eV/atom

a b c (Å): 5.8154 5.8154 5.8154
angles (deg): 90.00 90.00 90.00
Last column: nearest neighbours and their distance in Å.
Element x y z (fractional)
Na 0.0000 0.0000 0.5000  2 Tl 2.91
Na 0.0000 0.5000 0.0000  2 Tl 2.91
Na 0.5000 0.0000 0.0000  2 Tl 2.91
Tl 0.0000 0.0000 0.0000  6 Na 2.91
Cl 0.5000 0.5000 0.5000  12 Na 4.11



2.
## HgAuSe2 (GGA-PBEsol)

Data for a geometry-optimized HgAuSe2 structure.

## Properties
Calculated volume = 107.4 Å³ per cell
DFT total energy = -2.972 eV per atom
Mass density = 8588 kg/m³
Energy relative to the elements, uncorrected = 0.0756 eV/atom

a b c (Å): 8.0078 8.0078 8.0078
angles (deg): 29.10 29.10 29.10
Last column: nearest neighbours and their distance in Å.
Element x y z (fractional)
Hg 0.0000 0.0000 0.0000  2 Se 2.54
Au 0.5000 0.5000 0.5000  6 Se 2.66
Se 0.1103 0.1103 0.1103  1 Hg 2.54, 3 Au 2.66
Se 0.8897 0.8897 0.8897  1 Hg 2.54, 3 Au 2.66



3.
## ZnSbTeN2 (GGA-PBEsol)

Data for a geometry-optimized ZnSbTeN2 structure.

## Properties
Calculated volume = 97.7 Å³ per cell
DFT total energy = -4.234 eV per atom
ΔE to the lowest computed polymorph = 0 meV per atom
Mass density = 5827 kg/m³
Energy relative to the elements, uncorrected = 1.1098 eV/atom

a b c (Å): 3.9764 3.9764 6.1786
angles (deg): 90.00 90.00 90.00
Last column: nearest neighbours and their distance in Å.
Element x y z (fractional)
Zn 0.0000 0.0000 0.0000  4 Te 2.81
Sb 0.5000 0.5000 0.5000  4 N 1.99
Te 0.5000 0.5000 0.0000  4 Zn 2.81, 2 Sb 3.09
N 0.0000 0.5000 0.5000  2 Sb 1.99
N 0.5000 0.0000 0.5000  2 Sb 1.99



4.
## DyHoMg2 (GGA-PBEsol)

Data for a geometry-optimized DyHoMg2 structure.

## Properties
Calculated volume = 103.8 Å³ per cell
DFT total energy = -3.403 eV per atom
Mass density = 6018 kg/m³
ΔH_f (0 K) = -0.06 eV/atom

a b c (Å): 5.2745 5.2745 5.2745
angles (deg): 60.00 60.00 60.00
Last column: nearest neighbours and their distance in Å.
Element x y z (fractional)
Dy 0.0000 0.0000 0.0000  8 Mg 3.23
Ho 0.5000 0.5000 0.5000  8 Mg 3.23
Mg 0.2500 0.2500 0.2500  4 Ho 3.23, 4 Dy 3.23
Mg 0.7500 0.7500 0.7500  4 Ho 3.23, 4 Dy 3.23



5.
## ZrAlHg (GGA-PBEsol)

Data for a geometry-optimized ZrAlHg structure.

## Properties
Calculated volume = 57.1 Å³ per cell
DFT total energy = -4.956 eV per atom
Mass density = 9277 kg/m³
ΔH_f (0 K) = -0.37 eV/atom

a b c (Å): 4.5049 4.5049 3.2468
angles (deg): 90.00 90.00 120.00
Last column: nearest neighbours and their distance in Å.
Element x y z (fractional)
Zr 0.0000 0.0000 0.0000  6 Hg 3.07, 6 Al 3.07, 2 Zr 3.25
Al 0.3333 0.6667 0.5000  3 Hg 2.60
Hg 0.6667 0.3333 0.5000  3 Al 2.60



6.
## SrHg2Ir (GGA-PBEsol)

Data for a geometry-optimized SrHg2Ir structure.

## Properties
Calculated volume = 88.2 Å³ per cell
DFT total energy = -2.982 eV per atom
Mass density = 12824 kg/m³
ΔH_f (0 K) = 0.22 eV/atom

a b c (Å): 5.8905 5.8905 3.3973
angles (deg): 105.31 105.31 118.89
Last column: nearest neighbours and their distance in Å.
Element x y z (fractional)
Sr 0.0000 0.0000 0.0000  4 Hg 2.99, 4 Ir 2.99-3.15
Hg 0.0000 0.5000 0.5000  2 Ir 2.99, 2 Sr 2.99, 4 Hg 2.99-3.15
Hg 0.5000 0.0000 0.5000  2 Ir 2.99, 2 Sr 2.99, 4 Hg 2.99-3.15
Ir 0.5000 0.5000 0.0000  4 Hg 2.99, 4 Sr 2.99-3.15



7.
## Li2MnCl (GGA-PBEsol)

Data for a geometry-optimized Li2MnCl structure.

## Properties
Calculated volume = 148.7 Å³ per cell
DFT total energy = -3.997 eV per atom
ΔE to the lowest computed polymorph = 0 meV per atom
Mass density = 2329 kg/m³
Energy relative to the elements, uncorrected = -0.0709 eV/atom

a b c (Å): 5.8139 5.8139 5.8139
angles (deg): 105.35 105.35 118.07
Last column: nearest neighbours and their distance in Å.
Element x y z (fractional)
Li 0.0628 0.6250 0.9378  2 Cl 2.33
Li 0.3750 0.3128 0.4378  2 Cl 2.33
Li 0.6872 0.1250 0.0622  2 Cl 2.33
Li 0.8750 0.9372 0.5622  2 Cl 2.33
Mn 0.2500 0.7500 0.5000  8 Li 2.92-3.15, 2 Cl 2.99
Mn 0.5000 0.5000 0.0000  8 Li 2.92-3.15, 2 Cl 2.99
Cl 0.0000 0.0000 0.0000  4 Li 2.33
Cl 0.7500 0.2500 0.5000  4 Li 2.33



8.
## BaLaIn (GGA-PBEsol)

Data for a geometry-optimized BaLaIn structure.

## Properties
Calculated volume = 110.4 Å³ per cell
DFT total energy = -3.422 eV per atom
ΔE to the lowest computed polymorph = 154 meV per atom
Mass density = 5883 kg/m³
ΔH_f (0 K) = 0.07 eV/atom

a b c (Å): 5.3845 5.3845 5.3845
angles (deg): 60.00 60.00 60.00
Last column: nearest neighbours and their distance in Å.
Element x y z (fractional)
Ba 0.0000 0.0000 0.0000  4 La 3.30
La 0.2500 0.2500 0.2500  4 In 3.30, 4 Ba 3.30
In 0.5000 0.5000 0.5000  4 La 3.30